(1)
The following is a DFT calculation (GGA-PBEsol) of ScAs2IBr after structural relaxation.

a b c (Å): 4.9954 5.2314 5.2314
angles (deg): 90.00 90.00 90.00
Sites, in units of the cell vectors:
1 I 0.5000 0.5000 0.5000
2 As 0.0000 0.0000 0.5000
3 As 0.0000 0.5000 0.0000
4 Sc 0.0000 0.0000 0.0000
5 Br 0.5000 0.0000 0.0000

E above lowest polymorph   0 meV/atom
DFT total energy   -4.194 eV per atom
Space-group type   P4/mmm, No. 123
Energy relative to the elements, uncorrected   -0.10 eV per atom
Crystal system   tetragonal

---

(2)
The following is a DFT calculation (GGA-PBEsol) of BaY2Te after structural relaxation.

a b c (Å): 3.8337 3.8337 8.7521
angles (deg): 90.00 90.00 89.94
Sites, in units of the cell vectors:
1 Ba 0.5000 0.5000 0.5000
2 Y 0.0000 0.0000 0.8062
3 Y 0.0000 0.0000 0.1938
4 Te 0.5000 0.5000 0.0000

DFT total energy   -5.296 eV per atom
Space-group type   P4/mmm, No. 123
Energy relative to the elements, uncorrected   -0.47 eV per atom
Crystal system   tetragonal

---

(3)
The following is a DFT calculation (GGA-PBEsol) of Rh2W after structural relaxation.

a b c (Å): 4.3284 4.7410 8.2295
angles (deg): 90.00 90.00 90.00
Sites, in units of the cell vectors:
1 W 0.7500 0.8301 0.1555
2 W 0.7500 0.3301 0.3445
3 W 0.2500 0.1699 0.8445
4 W 0.2500 0.6699 0.6555
5 Rh 0.2500 0.1593 0.1711
6 Rh 0.2500 0.6668 0.9930
7 Rh 0.2500 0.1668 0.5070
8 Rh 0.7500 0.3407 0.6711
9 Rh 0.7500 0.8332 0.4930
10 Rh 0.7500 0.8407 0.8289
11 Rh 0.7500 0.3332 0.0070
12 Rh 0.2500 0.6593 0.3289

Energy of formation from the pure elements   -0.281 eV per atom
DFT total energy   -10.310 eV per atom
Space-group type   Pnma, No. 62
Crystal system   orthorhombic

---

(4)
The following is a DFT calculation (GGA-PBEsol) of Tm2Ge2O7 after structural relaxation.

a b c (Å): 6.7214 6.7214 12.2167
angles (deg): 90.00 90.00 90.00
Sites, in units of the cell vectors:
1 Tm 0.1446 0.3719 0.3860
2 Tm 0.6446 0.1281 0.3640
3 Tm 0.8554 0.6281 0.8860
4 Tm 0.3719 0.1446 0.6140
5 Tm 0.1281 0.6446 0.6360
6 Tm 0.3554 0.8719 0.8640
7 Tm 0.6281 0.8554 0.1140
8 Tm 0.8719 0.3554 0.1360
9 O 0.0792 0.9637 0.6203
10 O 0.5363 0.5792 0.8703
11 O 0.8552 0.3230 0.9566
12 O 0.5792 0.5363 0.1297
13 O 0.1448 0.6770 0.4566
14 O 0.9324 0.6622 0.0709
15 O 0.3378 0.0676 0.4291
16 O 0.1975 0.8025 0.2500
17 O 0.4324 0.8378 0.6791
18 O 0.6975 0.6975 0.5000
19 O 0.3230 0.8552 0.0434
20 O 0.3025 0.3025 0.0000
21 O 0.5676 0.1622 0.1791
22 O 0.4208 0.4637 0.6297
23 O 0.8025 0.1975 0.7500
24 O 0.1622 0.5676 0.8209
25 O 0.0363 0.9208 0.8797
26 O 0.4637 0.4208 0.3703
27 O 0.9208 0.0363 0.1203
28 O 0.6448 0.8230 0.2934
29 O 0.3552 0.1770 0.7934
30 O 0.9637 0.0792 0.3797
31 O 0.0676 0.3378 0.5709
32 O 0.8378 0.4324 0.3209
33 O 0.6622 0.9324 0.9291
34 O 0.1770 0.3552 0.2066
35 O 0.6770 0.1448 0.5434
36 O 0.8230 0.6448 0.7066
37 Ge 0.3986 0.3500 0.1326
38 Ge 0.6500 0.6014 0.3674
39 Ge 0.8500 0.1014 0.8826
40 Ge 0.1014 0.8500 0.1174
41 Ge 0.1500 0.8986 0.3826
42 Ge 0.6014 0.6500 0.6326
43 Ge 0.8986 0.1500 0.6174
44 Ge 0.3500 0.3986 0.8674

DFT total energy   -7.818 eV per atom
Space-group type   P4_12_12, No. 92
Energy relative to the elements, uncorrected   -2.69 eV per atom
Crystal system   tetragonal

---

(5)
The following is a DFT calculation (GGA-PBEsol) of KCdSbTe2 after structural relaxation.

a b c (Å): 5.4134 5.7229 5.7229
angles (deg): 90.00 90.00 90.00
Sites, in units of the cell vectors:
1 Sb 0.5000 0.0000 0.0000
2 Cd 0.0000 0.0000 0.0000
3 Te 0.0000 0.0000 0.5000
4 Te 0.0000 0.5000 0.0000
5 K 0.5000 0.5000 0.5000

DFT total energy   -2.722 eV per atom
Space-group type   P4/mmm, No. 123
Energy relative to the elements, uncorrected   0.07 eV per atom
Crystal system   tetragonal

---

(6)
The following is a DFT calculation (GGA-PBEsol) of Pt2Rh after structural relaxation.

a b c (Å): 2.7376 3.8637 4.7346
angles (deg): 114.08 106.80 90.00
Sites, in units of the cell vectors:
1 Pt 0.3347 0.3347 0.6694
2 Pt 0.6653 0.6653 0.3306
3 Rh 0.0000 0.0000 0.0000

Energy of formation from the pure elements   -0.011 eV per atom
DFT total energy   -7.366 eV per atom
Space-group type   Immm, No. 71
Crystal system   orthorhombic

---

(7)
The following is a DFT calculation (GGA-PBEsol) of CdGa2Pd2 after structural relaxation.

a b c (Å): 3.0336 7.2155 7.2155
angles (deg): 90.00 90.00 90.00
Sites, in units of the cell vectors:
1 Pd 0.0000 0.1449 0.3551
2 Pd 0.0000 0.8551 0.6449
3 Pd 0.0000 0.3551 0.8551
4 Pd 0.0000 0.6449 0.1449
5 Ga 0.5000 0.3488 0.1512
6 Ga 0.5000 0.8488 0.3488
7 Ga 0.5000 0.1512 0.6512
8 Ga 0.5000 0.6512 0.8488
9 Cd 0.0000 0.5000 0.5000
10 Cd 0.0000 0.0000 0.0000

Energy of formation from the pure elements   -0.489 eV per atom
DFT total energy   -4.448 eV per atom
Space-group type   P4/mbm, No. 127
Crystal system   tetragonal

---

(8)
The following is a DFT calculation (GGA-PBEsol) of LaPt2Br after structural relaxation.

a b c (Å): 4.0934 4.0839 5.8028
angles (deg): 110.21 110.26 91.05
Sites, in units of the cell vectors:
1 Br 0.5000 0.0000 0.0000
2 Pt 0.0000 0.0000 0.5000
3 Pt 0.5000 0.5000 0.5000
4 La 0.0000 0.5000 0.0000

E above lowest polymorph   124 meV/atom
DFT total energy   -5.758 eV per atom
Space-group type   Fmmm, No. 69
Energy relative to the elements, uncorrected   -0.47 eV per atom
Crystal system   orthorhombic

---

(9)
The following is a DFT calculation (GGA-PBEsol) of CrSiHg2Os after structural relaxation.

a b c (Å): 4.4549 4.8375 4.8375
angles (deg): 90.00 90.00 90.00
Last column: magnetic moment on the atom in μB.
Sites, in units of the cell vectors:
1 Os 0.5000 0.0000 0.0000  -0.57
2 Cr 0.5000 0.5000 0.5000  3.98
3 Si 0.0000 0.0000 0.0000  0.00
4 Hg 0.0000 0.0000 0.5000  -0.02
5 Hg 0.0000 0.5000 0.0000  -0.02

DFT total energy   -4.658 eV per atom
Space-group type   P4/mmm, No. 123
Energy relative to the elements, uncorrected   1.21 eV per atom
Crystal system   tetragonal

---

(10)
The following is a DFT calculation (GGA-PBEsol) of SrTcHgRu2 after structural relaxation.

a b c (Å): 4.5665 4.5665 5.5677
angles (deg): 90.00 90.00 90.00
Last column: magnetic moment on the atom in μB.
Sites, in units of the cell vectors:
1 Hg 0.5000 0.5000 0.5000  0.00
2 Tc 0.0000 0.0000 0.0000  0.01
3 Ru 0.0000 0.5000 0.0000  0.27
4 Ru 0.5000 0.0000 0.0000  0.27
5 Sr 0.0000 0.0000 0.5000  -0.01

Energy of formation from the pure elements   1.160 eV per atom
DFT total energy   -5.643 eV per atom
Space-group type   P4/mmm, No. 123
Crystal system   tetragonal

---

(11)
The following is a DFT calculation (GGA-PBEsol) of TcAg2SbRh after structural relaxation.

a b c (Å): 4.8811 4.8811 4.9286
angles (deg): 90.00 90.00 90.00
Last column: magnetic moment on the atom in μB.
Sites, in units of the cell vectors:
1 Sb 0.0000 0.0000 0.0000  -0.02
2 Tc 0.0000 0.0000 0.5000  2.09
3 Rh 0.5000 0.5000 0.5000  0.81
4 Ag 0.5000 0.0000 0.0000  0.00
5 Ag 0.0000 0.5000 0.0000  0.00

DFT total energy   -4.418 eV per atom
Space-group type   P4/mmm, No. 123
Energy relative to the elements, uncorrected   1.70 eV per atom
Crystal system   tetragonal

---

(12)
The following is a DFT calculation (GGA-PBEsol) of MnICl2 after structural relaxation.

a b c (Å): 6.5752 6.5752 6.5752
angles (deg): 127.99 101.08 101.08
Last column: magnetic moment on the atom in μB.
Sites, in units of the cell vectors:
1 Cl 0.6346 0.3750 0.5096  -0.01
2 Cl 0.3654 0.8750 0.7404  -0.01
3 Cl 0.8654 0.4904 0.1250  -0.01
4 Cl 0.1346 0.2596 0.6250  -0.01
5 I 0.0000 0.0000 0.0000  -0.22
6 I 0.5000 0.7500 0.2500  -0.22
7 Mn 0.5000 0.2500 0.7500  4.06
8 Mn 0.0000 0.5000 0.5000  4.06

DFT total energy   -4.298 eV per atom
Space-group type   I-42d, No. 122
Energy relative to the elements, uncorrected   -0.41 eV per atom
Crystal system   tetragonal